A plane-wave DFT calculation with GGA-PBE was carried out for a geometry-optimized TlTc2Mo structure.

As for the crystal system: trigonal. Its space group is R-3m. The calculation puts the energy above the most stable polymorph in this dataset at 97.9 meV/atom. As for the total magnetization: 0.00 μB per atom. The value obtained for the density of states at the Fermi level is 3.54 states/eV per cell. The formation energy is 2.00 eV per formula unit.

a b c (Å): 9.2820 9.2820 9.2820
angles (deg): 18.15 18.15 18.15
Fractional coordinates of all 4 atoms:
Mo: 0.7500 0.7500 0.7500
Tc: 0.0062 0.0062 0.0062
Tc: 0.4938 0.4938 0.4938
Tl: 0.2500 0.2500 0.2500